A PBEsol-optimized structure of LaYPb, computed with meta-GGA SCAN.

```
data_LaYPb
_symmetry_space_group_name_H-M 'F -4 3 m'
_symmetry_Int_Tables_number 216
_symmetry_space_group_name_Hall 'F -4 2 3'
_cell_length_a 7.434
_cell_length_b 7.434
_cell_length_c 7.434
_cell_angle_alpha 90.00
_cell_angle_beta 90.00
_cell_angle_gamma 90.00
loop_
_atom_site_label
_atom_site_type_symbol
_atom_site_fract_x
_atom_site_fract_y
_atom_site_fract_z
_atom_site_occupancy
La1 La 0.000 0.000 0.000 1
Y1 Y 0.000 0.000 0.500 1
Pb1 Pb 0.250 0.250 0.250 1
```

Values from the calculation:
Energy of formation from the pure elements ... -148 kJ/mol of formula units

=====

A PBEsol-optimized structure of LaYPb2, computed with meta-GGA SCAN.

```
data_LaYPb2
_symmetry_space_group_name_H-M 'P 4/m m m'
_symmetry_Int_Tables_number 123
_symmetry_space_group_name_Hall '-P 4 2'
_cell_length_a 3.558
_cell_length_b 3.558
_cell_length_c 8.944
_cell_angle_alpha 90.00
_cell_angle_beta 90.00
_cell_angle_gamma 90.00
loop_
_atom_site_label
_atom_site_type_symbol
_atom_site_fract_x
_atom_site_fract_y
_atom_site_fract_z
_atom_site_occupancy
La1 La 0.000 0.000 0.000 1
Y1 Y 0.000 0.000 0.500 1
Pb1 Pb 0.500 0.500 0.261 1
```

Values from the calculation:
Energy of formation from the pure elements ... -291 kJ/mol of formula units

=====

A PBEsol-optimized structure of LaYPb2, computed with meta-GGA SCAN.

```
data_LaYPb2
_symmetry_space_group_name_H-M 'C m m m'
_symmetry_Int_Tables_number 65
_symmetry_space_group_name_Hall '-C 2 2'
_cell_length_a 7.008
_cell_length_b 9.019
_cell_length_c 3.602
_cell_angle_alpha 90.00
_cell_angle_beta 90.00
_cell_angle_gamma 90.00
loop_
_atom_site_label
_atom_site_type_symbol
_atom_site_fract_x
_atom_site_fract_y
_atom_site_fract_z
_atom_site_occupancy
La1 La 0.000 0.000 0.000 1
Y1 Y 0.000 0.500 0.000 1
Pb1 Pb 0.250 0.250 0.500 1
```

Values from the calculation:
Energy of formation from the pure elements ... -283 kJ/mol of formula units

=====

A PBEsol-optimized structure of LaYPb2, computed with meta-GGA SCAN.

```
data_LaYPb2
_symmetry_space_group_name_H-M 'P m m m'
_symmetry_Int_Tables_number 47
_symmetry_space_group_name_Hall '-P 2 2'
_cell_length_a 3.541
_cell_length_b 4.456
_cell_length_c 7.165
_cell_angle_alpha 90.00
_cell_angle_beta 90.00
_cell_angle_gamma 90.00
loop_
_atom_site_label
_atom_site_type_symbol
_atom_site_fract_x
_atom_site_fract_y
_atom_site_fract_z
_atom_site_occupancy
La1 La 0.000 0.000 0.000 1
Y1 Y 0.000 0.000 0.500 1
Pb1 Pb 0.500 0.500 0.267 1
```

Values from the calculation:
Energy of formation from the pure elements ... -297 kJ/mol of formula units

=====

A PBEsol-optimized structure of La2YPb2, computed with meta-GGA SCAN.

```
data_La2YPb2
_symmetry_space_group_name_H-M 'P 4/m b m'
_symmetry_Int_Tables_number 127
_symmetry_space_group_name_Hall '-P 4 2ab'
_cell_length_a 8.228
_cell_length_b 8.228
_cell_length_c 4.661
_cell_angle_alpha 90.00
_cell_angle_beta 90.00
_cell_angle_gamma 90.00
loop_
_atom_site_label
_atom_site_type_symbol
_atom_site_fract_x
_atom_site_fract_y
_atom_site_fract_z
_atom_site_occupancy
La1 La 0.169 0.331 0.000 1
Y1 Y 0.000 0.000 0.500 1
Pb1 Pb 0.135 0.635 0.500 1
```

Values from the calculation:
Energy of formation from the pure elements ... -405 kJ/mol of formula units

=====

A PBEsol-optimized structure of LaYPb2, computed with meta-GGA SCAN.

```
data_LaYPb2
_symmetry_space_group_name_H-M 'P 4/m m m'
_symmetry_Int_Tables_number 123
_symmetry_space_group_name_Hall '-P 4 2'
_cell_length_a 4.509
_cell_length_b 4.509
_cell_length_c 6.340
_cell_angle_alpha 90.00
_cell_angle_beta 90.00
_cell_angle_gamma 90.00
loop_
_atom_site_label
_atom_site_type_symbol
_atom_site_fract_x
_atom_site_fract_y
_atom_site_fract_z
_atom_site_occupancy
La1 La 0.000 0.000 0.000 1
Y1 Y 0.500 0.500 0.500 1
Pb1 Pb 0.000 0.000 0.500 1
Pb2 Pb 0.500 0.500 0.000 1
```

Values from the calculation:
Energy of formation from the pure elements ... -270 kJ/mol of formula units

=====

A PBEsol-optimized structure of La4ZnPb, computed with meta-GGA SCAN.

```
data_La4ZnPb
_symmetry_space_group_name_H-M 'F -4 3 m'
_symmetry_Int_Tables_number 216
_symmetry_space_group_name_Hall 'F -4 2 3'
_cell_length_a 8.987
_cell_length_b 8.987
_cell_length_c 8.987
_cell_angle_alpha 90.00
_cell_angle_beta 90.00
_cell_angle_gamma 90.00
loop_
_atom_site_label
_atom_site_type_symbol
_atom_site_fract_x
_atom_site_fract_y
_atom_site_fract_z
_atom_site_occupancy
La1 La 0.123 0.123 0.123 1
Zn1 Zn 0.000 0.000 0.500 1
Pb1 Pb 0.250 0.250 0.750 1
```

Values from the calculation:
Energy of formation from the pure elements ... 68 kJ/mol of formula units

=====

A PBEsol-optimized structure of LaZn2Pb, computed with meta-GGA SCAN.

```
data_LaZn2Pb
_symmetry_space_group_name_H-M 'P 4 m m'
_symmetry_Int_Tables_number 99
_symmetry_space_group_name_Hall 'P 4 -2'
_cell_length_a 3.484
_cell_length_b 3.484
_cell_length_c 7.457
_cell_angle_alpha 90.00
_cell_angle_beta 90.00
_cell_angle_gamma 90.00
loop_
_atom_site_label
_atom_site_type_symbol
_atom_site_fract_x
_atom_site_fract_y
_atom_site_fract_z
_atom_site_occupancy
La1 La 0.000 0.000 0.000 1
Zn1 Zn 0.000 0.000 0.576 1
Zn2 Zn 0.500 0.500 0.721 1
Pb1 Pb 0.500 0.500 0.326 1
```

Values from the calculation:
Energy of formation from the pure elements ... -88 kJ/mol of formula units

=====

A PBEsol-optimized structure of La2Zn2Pb, computed with meta-GGA SCAN.

```
data_La2Zn2Pb
_symmetry_space_group_name_H-M 'P 4/m b m'
_symmetry_Int_Tables_number 127
_symmetry_space_group_name_Hall '-P 4 2ab'
_cell_length_a 7.368
_cell_length_b 7.368
_cell_length_c 4.650
_cell_angle_alpha 90.00
_cell_angle_beta 90.00
_cell_angle_gamma 90.00
loop_
_atom_site_label
_atom_site_type_symbol
_atom_site_fract_x
_atom_site_fract_y
_atom_site_fract_z
_atom_site_occupancy
La1 La 0.175 0.325 0.000 1
Zn1 Zn 0.120 0.620 0.500 1
Pb1 Pb 0.000 0.000 0.500 1
```

Values from the calculation:
Energy of formation from the pure elements ... -273 kJ/mol of formula units

=====

A PBEsol-optimized structure of LaZnPb, computed with meta-GGA SCAN.

```
data_LaZnPb
_symmetry_space_group_name_H-M 'P 3 m 1'
_symmetry_Int_Tables_number 156
_symmetry_space_group_name_Hall 'P 3 -2"'
_cell_length_a 4.5580
_cell_length_b 4.5580
_cell_length_c 4.3958
_cell_angle_alpha 90.00
_cell_angle_beta 90.00
_cell_angle_gamma 120.00
loop_
_atom_site_label
_atom_site_type_symbol
_atom_site_fract_x
_atom_site_fract_y
_atom_site_fract_z
_atom_site_occupancy
La1 La 0.0000 0.0000 0.0000 1
Zn1 Zn 0.6667 0.3333 0.4044 1
Pb1 Pb 0.3333 0.6667 0.5318 1
```

Values from the calculation:
Energy of formation from the pure elements ... -194 kJ/mol of formula units

=====

A PBEsol-optimized structure of La2ZrPb, computed with meta-GGA SCAN.

```
data_La2ZrPb
_symmetry_space_group_name_H-M 'C 1 2/m 1'
_symmetry_Int_Tables_number 12
_symmetry_space_group_name_Hall '-C 2y'
_cell_length_a 11.705
_cell_length_b 3.365
_cell_length_c 5.699
_cell_angle_alpha 90.00
_cell_angle_beta 99.83
_cell_angle_gamma 90.00
loop_
_atom_site_label
_atom_site_type_symbol
_atom_site_fract_x
_atom_site_fract_y
_atom_site_fract_z
_atom_site_occupancy
La1 La 0.245 0.000 0.235 1
Zr1 Zr 0.000 0.000 0.500 1
Pb1 Pb 0.000 0.500 0.000 1
```

Values from the calculation:
Energy of formation from the pure elements ... -37 kJ/mol of formula units

=====

A PBEsol-optimized structure of LaZr2Pb, computed with meta-GGA SCAN.

```
data_LaZr2Pb
_symmetry_space_group_name_H-M 'P m m 2'
_symmetry_Int_Tables_number 25
_symmetry_space_group_name_Hall 'P 2 -2'
_cell_length_a 3.349
_cell_length_b 4.071
_cell_length_c 7.595
_cell_angle_alpha 90.00
_cell_angle_beta 90.00
_cell_angle_gamma 90.00
loop_
_atom_site_label
_atom_site_type_symbol
_atom_site_fract_x
_atom_site_fract_y
_atom_site_fract_z
_atom_site_occupancy
La1 La 0.000 0.000 0.000 1
Zr1 Zr 0.000 0.000 0.500 1
Zr2 Zr 0.500 0.500 0.712 1
Pb1 Pb 0.500 0.500 0.286 1
```

Values from the calculation:
Energy of formation from the pure elements ... -69 kJ/mol of formula units